Entry 1:
A relaxed Na2GaB2Pd5 crystal, computed with PBE.

a b c (Å): 2.8746 9.9470 9.9470
angles (deg): 90.00 90.00 90.00
Element x y z (fractional)
Na: 0.0000 0.6790 0.1790
Na: 0.0000 0.3210 0.8210
Na: 0.0000 0.1790 0.3210
Na: 0.0000 0.8210 0.6790
Ga: 0.0000 0.0000 0.0000
Ga: 0.0000 0.5000 0.5000
B: 0.0000 0.1235 0.6235
B: 0.0000 0.8765 0.3765
B: 0.0000 0.6235 0.8765
B: 0.0000 0.3765 0.1235
Pd: 0.5000 0.2200 0.0653
Pd: 0.5000 0.7800 0.9347
Pd: 0.5000 0.0653 0.7800
Pd: 0.5000 0.7200 0.4347
Pd: 0.5000 0.9347 0.2200
Pd: 0.5000 0.2800 0.5653
Pd: 0.5000 0.5653 0.7200
Pd: 0.5000 0.4347 0.2800
Pd: 0.5000 0.5000 0.0000
Pd: 0.5000 0.0000 0.5000

Summary:
The value obtained for the formation energy is -0.32 eV/atom. The symmetry is P4/mbm, No. 127.



Entry 2:
A relaxed Na2GaB2Rh5 crystal, computed with PBE.

a b c (Å): 2.8908 9.6306 9.6306
angles (deg): 90.00 90.00 90.00
Element x y z (fractional)
Na: 0.0000 0.6763 0.1763
Na: 0.0000 0.3237 0.8237
Na: 0.0000 0.1763 0.3237
Na: 0.0000 0.8237 0.6763
Ga: 0.0000 0.0000 0.0000
Ga: 0.0000 0.5000 0.5000
B: 0.0000 0.1244 0.6244
B: 0.0000 0.8756 0.3756
B: 0.0000 0.6244 0.8756
B: 0.0000 0.3756 0.1244
Rh: 0.5000 0.2180 0.0694
Rh: 0.5000 0.7820 0.9306
Rh: 0.5000 0.0694 0.7820
Rh: 0.5000 0.7180 0.4306
Rh: 0.5000 0.9306 0.2180
Rh: 0.5000 0.2820 0.5694
Rh: 0.5000 0.5694 0.7180
Rh: 0.5000 0.4306 0.2820
Rh: 0.5000 0.5000 0.0000
Rh: 0.5000 0.0000 0.5000

Summary:
The value obtained for the formation energy is -0.31 eV/atom. The symmetry is P4/mbm, No. 127.



Entry 3:
A relaxed NaGa2BSb crystal, computed with PBE.

a b c (Å): 5.6284 4.5442 5.6284
angles (deg): 90.00 90.00 90.00
Element x y z (fractional)
Sb: 0.0000 0.0000 0.0000
B: 0.0000 0.5000 0.0000
Ga: 0.0000 0.0000 0.5000
Ga: 0.5000 0.0000 0.0000
Na: 0.5000 0.5000 0.5000

Summary:
The value obtained for the formation energy without anion corrections is 4.46 eV per formula unit. The symmetry is P4/mmm, No. 123.